Material: K2RbTbV2O8
Method: DFT, PBE with a Hubbard U
State: relaxed

Total DFT energy (no corrections) = -95.032 eV per cell

abc: 6.042 6.042 7.803
angles: 90.00 90.00 120.00
Sites, in units of the cell vectors:
K  0.333  0.667  0.197
K  0.667  0.333  0.803
Rb  0.000  0.000  0.500
Tb  0.000  0.000  0.000
V  0.333  0.667  0.748
V  0.667  0.333  0.252
O  0.175  0.350  0.827
O  0.175  0.825  0.827
O  0.333  0.667  0.532
O  0.350  0.175  0.173
O  0.650  0.825  0.827
O  0.667  0.333  0.468
O  0.825  0.175  0.173
O  0.825  0.650  0.173